# 1
Material: TeIrAu2
Method: DFT, PBE
State: optimized geometry

Unit cell a=6.5800 b=6.5800 c=6.5800 alpha=152.02 beta=140.75 gamma=48.89
Closest atoms and distances in Å follow each position.
Positions (direct):
1 Ir 0.4852 0.4852 0.0000  2 Te 2.61, 6 Au 2.76-2.83
2 Te 0.3129 0.8129 0.5000  2 Ir 2.61
3 Au 0.6803 0.1803 0.5000  2 Ir 2.83, 2 Au 2.92, 4 Te 3.15
4 Au 0.0215 0.0215 0.0000  4 Ir 2.76, 2 Au 2.92

Energy: -17.5 eV per cell
Crystal system: orthorhombic
Raw formation energy: 0.270 eV per atom
Space group: Imm2 (44)


# 2
Material: NaLaTl3
Method: DFT, PBE
State: optimized geometry

Unit cell a=5.3973 b=5.3973 c=5.3973 alpha=90.00 beta=90.00 gamma=90.00
Closest atoms and distances in Å follow each position.
Positions (direct):
1 Tl 0.0000 0.5000 0.0000  2 Na 2.70
2 Tl 0.0000 0.0000 0.5000  2 Na 2.70
3 Tl 0.5000 0.0000 0.0000  2 Na 2.70
4 Na 0.0000 0.0000 0.0000  6 Tl 2.70
5 La 0.5000 0.5000 0.5000  12 Tl 3.82

Energy: -12.7 eV per cell
Crystal system: cubic
Space group: Pm-3m (221)
Formation enthalpy at 0 K: 124 meV/atom


# 3
Material: BaSr2LaSe4
Method: DFT, PBE
State: optimized geometry

Unit cell a=4.4594 b=7.7305 c=7.7785 alpha=70.71 beta=90.00 gamma=90.00
Closest atoms and distances in Å follow each position.
Positions (direct):
1 Se 0.0000 0.7559 0.7345  3 Sr 3.10-3.23, 1 La 3.10, 2 Ba 3.23
2 Se 0.5000 0.2514 0.7382  3 Sr 3.10-3.21, 2 La 3.12, 1 Ba 3.23
3 Se 0.0000 0.2441 0.2655  3 Sr 3.10-3.23, 1 La 3.10, 2 Ba 3.23
4 Se 0.5000 0.7486 0.2618  3 Sr 3.10-3.21, 2 La 3.12, 1 Ba 3.23
5 La 0.0000 0.5000 0.5000  6 Se 3.10-3.12
6 Ba 0.5000 0.5000 0.0000  6 Se 3.23
7 Sr 0.5000 0.0000 0.5000  6 Se 3.10
8 Sr 0.0000 0.0000 0.0000  6 Se 3.21-3.23

Energy: -40.1 eV per cell
Crystal system: monoclinic
Raw formation energy: -1.997 eV per atom
Space group: P2/m (10)